GGA-PBE Ba2VNiCl, relaxed; calculated volume = 170.77 Å³/cell; energy = -4.311 eV per atom; M_tot = 3.770 μB/cell; formation energy from raw total energies = -0.19 eV/atom; space-group type = P4/mmm (123)
1.0
-0.466 1.236 6.017
-2.927 -3.385 0.469
4.656 -3.866 1.155
Ni Cl Ba V
1 1 2 1
direct
0.000 0.000 0.000 Ni
0.500 0.500 0.500 Cl
0.000 0.000 0.500 Ba
0.500 0.000 0.000 Ba
0.000 0.500 0.000 V

GGA-PBE BaNpCl5, relaxed; calculated volume = 543.81 Å³/cell; energy = -5.471 eV per atom; M_tot = 8.000 μB/cell; formation energy from raw total energies = -2.03 eV/atom; space-group type = C2/c (15)
1.0
7.748 0.054 -0.001
2.509 7.331 -0.001
3.680 2.649 9.595
Ba Np Cl
2 2 10
direct
0.550 0.450 0.250 Ba
0.450 0.550 0.750 Ba
0.000 0.000 0.000 Np
0.000 0.000 0.500 Np
0.797 0.736 0.118 Cl
0.289 0.681 0.473 Cl
0.736 0.797 0.618 Cl
0.910 0.090 0.250 Cl
0.319 0.711 0.027 Cl
0.681 0.289 0.973 Cl
0.090 0.910 0.750 Cl
0.264 0.203 0.382 Cl
0.711 0.319 0.527 Cl
0.203 0.264 0.882 Cl

GGA-PBE Ba2NpCl8, relaxed; calculated volume = 320.14 Å³/cell; polymorph energy (0 for the lowest one) = 0 meV per atom; energy = -4.941 eV per atom; M_tot = 3.000 μB/cell; formation energy from raw total energies = -2.07 eV/atom; space-group type = C2/m (12)
1.0
-0.896 4.762 0.291
-4.647 -1.153 4.552
8.960 -1.122 5.437
Ba Np Cl
2 1 8
direct
0.833 0.339 0.666 Ba
0.167 0.661 0.334 Ba
0.500 0.000 0.000 Np
0.416 0.619 0.832 Cl
0.624 0.929 0.247 Cl
0.766 0.730 0.533 Cl
0.981 0.210 0.963 Cl
0.234 0.270 0.467 Cl
0.376 0.071 0.753 Cl
0.584 0.381 0.168 Cl
0.019 0.790 0.037 Cl

GGA-PBE BaNp2Cl11, relaxed; calculated volume = 997.87 Å³/cell; energy = -5.140 eV per atom; M_tot = 10.000 μB/cell; formation energy from raw total energies = -1.70 eV/atom; space-group type = Ibam (72)
1.0
1.921 2.065 11.666
-1.086 -7.699 7.715
9.398 -2.458 5.062
Ba Np Cl
2 4 22
direct
0.750 0.750 0.750 Ba
0.250 0.250 0.250 Ba
0.661 0.661 0.339 Np
0.339 0.339 0.661 Np
0.839 0.161 0.839 Np
0.161 0.839 0.161 Np
0.641 0.689 0.574 Cl
0.359 0.311 0.426 Cl
0.097 0.574 0.689 Cl
0.859 0.926 0.811 Cl
0.903 0.426 0.311 Cl
0.141 0.074 0.189 Cl
0.403 0.811 0.926 Cl
0.597 0.189 0.074 Cl
0.500 0.500 0.500 Cl
0.000 0.000 0.000 Cl
0.805 0.805 0.195 Cl
0.195 0.195 0.805 Cl
0.695 0.305 0.695 Cl
0.305 0.695 0.305 Cl
0.426 0.903 0.359 Cl
0.574 0.097 0.641 Cl
0.311 0.359 0.903 Cl
0.074 0.141 0.597 Cl
0.689 0.641 0.097 Cl
0.926 0.859 0.403 Cl
0.189 0.597 0.141 Cl
0.811 0.403 0.859 Cl

GGA-PBE Ba2NpCl6, relaxed; calculated volume = 684.80 Å³/cell; energy = -5.140 eV per atom; M_tot = 9.979 μB/cell; formation energy from raw total energies = -2.04 eV/atom; space-group type = P4_2/mnm (136)
1.0
-1.913 6.727 -0.558
-6.549 -1.709 1.846
3.241 2.031 13.376
Ba Np Cl
4 2 12
direct
0.000 0.000 0.333 Ba
0.500 0.500 0.833 Ba
0.500 0.500 0.167 Ba
0.000 0.000 0.667 Ba
0.000 0.000 0.000 Np
0.500 0.500 0.500 Np
0.311 0.311 0.345 Cl
0.689 0.689 0.345 Cl
0.189 0.811 0.845 Cl
0.811 0.189 0.845 Cl
0.189 0.811 0.155 Cl
0.811 0.189 0.155 Cl
0.311 0.311 0.655 Cl
0.689 0.689 0.655 Cl
0.290 0.290 0.000 Cl
0.710 0.710 0.000 Cl
0.210 0.790 0.500 Cl
0.790 0.210 0.500 Cl

GGA-PBE Ba2NpCl8, relaxed; calculated volume = 302.04 Å³/cell; polymorph energy (0 for the lowest one) = 207 meV per atom; energy = -4.734 eV per atom; M_tot = 3.043 μB/cell; formation energy from raw total energies = -1.86 eV/atom; space-group type = Immm (71)
1.0
-1.245 -2.591 -3.935
-0.837 -6.793 4.737
-6.119 6.379 0.754
Ba Np Cl
2 1 8
direct
0.178 0.678 0.357 Ba
0.822 0.322 0.643 Ba
0.500 0.000 0.000 Np
0.652 0.912 0.305 Cl
0.348 0.607 0.695 Cl
0.105 0.105 0.210 Cl
0.000 0.319 0.000 Cl
0.895 0.895 0.790 Cl
0.652 0.393 0.305 Cl
0.348 0.088 0.695 Cl
0.000 0.681 0.000 Cl